Record 1
VASP calculation (PBE) on a relaxed YNp5P6 crystal.

Cell lengths 6.871, 6.871, 6.877 Å; angles 99.59, 99.59, 120.06 degrees
Fractional coordinates of all 12 atoms:
Y1 0.000 0.000 0.000
Np1 0.165 0.835 0.500
Np2 0.333 0.667 0.000
Np3 0.500 0.500 0.500
Np4 0.667 0.333 0.000
Np5 0.835 0.165 0.500
P1 0.084 0.422 0.252
P2 0.254 0.254 0.749
P3 0.422 0.084 0.252
P4 0.578 0.916 0.748
P5 0.746 0.746 0.251
P6 0.916 0.578 0.748

Output
Magnetic moment in μB per formula unit: 18.5
E_tot in eV per atom: -9.63
Space group: No. 12
N(E_F) in states/eV/f.u.: 37.29
Energy relative to the elements in eV/atom: -0.997

Record 2
VASP calculation (PBE) on a relaxed LuMgNiAg crystal.

Cell lengths 4.713, 4.713, 4.713 Å; angles 60.00, 60.00, 60.00 degrees
Fractional coordinates of all 4 atoms:
Lu1 0.000 0.000 0.000
Mg1 0.500 0.500 0.500
Ni1 0.250 0.250 0.250
Ag1 0.750 0.750 0.750

Output
Magnetic moment in μB per formula unit: 0.0
E_tot in eV per atom: -3.95
Space group: No. 216
N(E_F) in states/eV/f.u.: 2.48
Energy relative to the elements in eV/atom: -0.263

Record 3
VASP calculation (PBE) on a relaxed Nd3HoPd12 crystal.

Cell lengths 4.174, 4.174, 16.779 Å; angles 90.00, 90.00, 90.00 degrees
Fractional coordinates of all 16 atoms:
Nd1 0.000 0.000 0.000
Nd2 0.000 0.000 0.253
Nd3 0.000 0.000 0.747
Ho1 0.000 0.000 0.500
Pd1 0.000 0.500 0.126
Pd2 0.000 0.500 0.380
Pd3 0.000 0.500 0.620
Pd4 0.000 0.500 0.874
Pd5 0.500 0.000 0.126
Pd6 0.500 0.000 0.380
Pd7 0.500 0.000 0.620
Pd8 0.500 0.000 0.874
Pd9 0.500 0.500 0.000
Pd10 0.500 0.500 0.252
Pd11 0.500 0.500 0.500
Pd12 0.500 0.500 0.748

Output
Magnetic moment in μB per formula unit: 0.0
E_tot in eV per atom: -5.87
Space group: No. 123
N(E_F) in states/eV/f.u.: 10.01
Energy relative to the elements in eV/atom: -0.796

Record 4
VASP calculation (PBE) on a relaxed CaOs2 crystal.

Cell lengths 10.459, 10.459, 4.285 Å; angles 90.00, 90.00, 164.36 degrees
Fractional coordinates of all 6 atoms:
Ca1 0.176 0.824 0.750
Ca2 0.824 0.176 0.250
Os1 0.071 0.929 0.250
Os2 0.461 0.539 0.250
Os3 0.539 0.461 0.750
Os4 0.929 0.071 0.750

Output
Magnetic moment in μB per formula unit: 0.0
E_tot in eV per atom: -7.69
Space group: No. 63
N(E_F) in states/eV/f.u.: 4.34
Energy relative to the elements in eV/atom: 0.465

Record 5
VASP calculation (PBE) on a relaxed AlBiPb crystal.

Cell lengths 6.780, 6.780, 6.780 Å; angles 149.02, 149.02, 44.39 degrees
Fractional coordinates of all 3 atoms:
Al1 0.000 0.000 0.000
Bi1 0.641 0.641 0.000
Pb1 0.354 0.354 0.000

Output
Offset from the most stable computed form in meV/atom: 9
Magnetic moment in μB per formula unit: 0.0
E_tot in eV per atom: -3.61
Space group: No. 107
N(E_F) in states/eV/f.u.: 1.45
Energy relative to the elements in eV/atom: 0.167

Record 6
VASP calculation (PBE) on a relaxed PrSmIrRu crystal.

Cell lengths 4.984, 4.984, 4.984 Å; angles 60.00, 60.00, 60.00 degrees
Fractional coordinates of all 4 atoms:
Pr1 0.000 0.000 0.000
Sm1 0.500 0.500 0.500
Ir1 0.250 0.250 0.250
Ru1 0.750 0.750 0.750

Output
Magnetic moment in μB per formula unit: 0.0
E_tot in eV per atom: -7.24
Space group: No. 216
N(E_F) in states/eV/f.u.: 3.10
Energy relative to the elements in eV/atom: -0.327